# CdAgSb2 | the Alexandria database | PBE-GGA | optimized geometry
# - uncorrected energy (eV/cell) = -44.48
# - energy relative to the elements, uncorrected (eV/atom) = 0.223
data_CdAgSb2
_chemical_formula_sum 'Cd4 Ag4 Sb8'
_symmetry_space_group_name_H-M 'F -4 3 m'
_symmetry_Int_Tables_number 216
_symmetry_space_group_name_Hall 'F -4 2 3'
_cell_length_a 7.3334
_cell_length_b 7.3334
_cell_length_c 7.3334
_cell_angle_alpha 90.00
_cell_angle_beta 90.00
_cell_angle_gamma 90.00
loop_
_atom_site_label
_atom_site_type_symbol
_atom_site_fract_x
_atom_site_fract_y
_atom_site_fract_z
Cd1 Cd 0.0000 0.0000 0.0000
Ag1 Ag 0.2500 0.2500 0.7500
Sb1 Sb 0.0000 0.0000 0.5000
Sb2 Sb 0.2500 0.2500 0.2500